Record 1
Below is crystalline BaFeCl at its relaxed geometry, with properties calculated at the GGA-PBE level.

- volume (Å³ per cell) = 413.3
- raw formation energy (eV per atom) = 0.174
- excess energy over the best structure of this formula in the dataset (meV/atom) = 299

abc: 7.4486 7.4486 7.4486
angles: 90.00 90.00 90.00
With the nearest neighbours (Å) after each atom.
Space group F-43m (No. 216)
Unique sites:
Ba 0.0000 0.0000 0.0000  4 Fe 3.23
Fe 0.2500 0.2500 0.7500  4 Ba 3.23, 4 Cl 3.23
Cl 0.0000 0.0000 0.5000  4 Fe 3.23



Record 2
Below is crystalline Sb2TeRuRh at its relaxed geometry, with properties calculated at the GGA-PBE level.

- volume (Å³ per cell) = 129.4
- raw formation energy (eV per atom) = 0.782
- excess energy over the best structure of this formula in the dataset (meV/atom) = 0

abc: 4.9866 4.9866 5.2027
angles: 90.00 90.00 90.00
With the nearest neighbours (Å) after each atom.
Space group P4/mmm (No. 123)
Unique sites:
Sb 0.0000 0.5000 0.0000  2 Ru 2.49
Te 0.0000 0.0000 0.5000  2 Ru 2.60
Ru 0.0000 0.0000 0.0000  4 Sb 2.49, 2 Te 2.60
Rh 0.5000 0.5000 0.5000  4 Te 3.53, 8 Sb 3.60



Record 3
Below is crystalline Er6Rh5Au at its relaxed geometry, with properties calculated at the GGA-PBE level.

- volume (Å³ per cell) = 241.0
- electronic total energy (eV/atom) = -6.53

abc: 4.8291 6.8965 7.6139
angles: 90.00 108.12 90.00
With the nearest neighbours (Å) after each atom.
Space group P2/m (No. 10)
Unique sites:
Er 0.0000 0.2436 0.0000  6 Rh 2.93-3.00, 2 Au 2.99
Er 0.3298 0.2482 0.6603  7 Rh 2.92-3.00, 1 Au 3.01
Rh 0.1665 0.0000 0.3326  8 Er 2.92-2.96
Rh 0.1676 0.5000 0.3344  8 Er 2.93-3.00
Rh 0.5000 0.0000 0.0000  8 Er 2.94-3.00
Au 0.5000 0.5000 0.0000  8 Er 2.99-3.01



Record 4
Below is crystalline AsI4N2 at its relaxed geometry, with properties calculated at the GGA-PBE level.

- volume (Å³ per cell) = 230.2
- raw formation energy (eV per atom) = 1.088

abc: 4.1381 6.9620 8.5910
angles: 103.86 92.27 105.46
With the nearest neighbours (Å) after each atom.
Space group P-1 (No. 2)
Unique sites:
As 0.0000 0.0000 0.0000  4 I 2.81-2.92
I 0.1551 0.2884 0.8147  1 N 2.26
I 0.2340 0.3104 0.3078  1 N 1.99
N 0.2863 0.5230 0.6686  1 I 1.99



Record 5
Below is crystalline Ga2NiHg2 at its relaxed geometry, with properties calculated at the GGA-PBE level.

- volume (Å³ per cell) = 225.8
- excess energy over the best structure of this formula in the dataset (meV/atom) = 412

abc: 3.8751 3.8751 15.0354
angles: 90.00 90.00 90.00
With the nearest neighbours (Å) after each atom.
Space group I4/mmm (No. 139)
Unique sites:
Ga 0.0000 0.0000 0.0829  1 Ga 2.49
Ni 0.0000 0.0000 0.5000  8 Ga 3.01
Hg 0.0000 0.5000 0.2500  4 Hg 2.74



Record 6
Below is crystalline AcPr5Nd2Er at its relaxed geometry, with properties calculated at the GGA-PBE level.

- volume (Å³ per cell) = 1324.5
- electronic total energy (eV/atom) = -4.42

abc: 9.1081 9.1081 15.9658
angles: 90.00 90.00 90.00
With the nearest neighbours (Å) after each atom.
Space group I4/mcm (No. 140)
Unique sites:
Ac 0.0000 0.0000 0.2500  10 Pr 3.76-3.99
Pr 0.0000 0.0000 0.0000  4 Nd 3.65, 8 Pr 3.91, 2 Ac 3.99
Pr 0.2049 0.2951 0.1342  1 Nd 3.15, 1 Er 3.22
Nd 0.1163 0.3837 0.5000  1 Nd 3.00, 2 Pr 3.15
Er 0.0000 0.5000 0.2500  4 Pr 3.22



Record 7
Below is crystalline Pm7In2C2 at its relaxed geometry, with properties calculated at the GGA-PBE level.

- volume (Å³ per cell) = 598.9
- electronic total energy (eV/atom) = -5.30

abc: 11.2359 7.8044 6.8735
angles: 90.00 96.51 90.00
With the nearest neighbours (Å) after each atom.
Space group C2/m (No. 12)
Unique sites:
Pm 0.0000 0.0000 0.0000  2 C 2.66
Pm 0.0573 0.5000 0.7930  1 C 2.49
Pm 0.2286 0.2779 0.2341  2 C 2.54-2.61
In 0.0000 0.1796 0.5000  1 In 2.80
C 0.2383 0.0000 0.0243  6 Pm 2.49-2.66



Record 8
Below is crystalline InPPd6 at its relaxed geometry, with properties calculated at the GGA-PBE level.

- volume (Å³ per cell) = 419.8
- electronic total energy (eV/atom) = -5.16

abc: 8.0143 8.0143 7.5468
angles: 90.00 90.00 120.00
With the nearest neighbours (Å) after each atom.
Space group R-3m (No. 166, hexagonal axes)
Unique sites:
In 0.0000 0.0000 0.0000  12 Pd 2.81-3.11
P 0.0000 0.0000 0.5000  6 Pd 2.21
Pd 0.0709 0.5354 0.3334  1 P 2.21



Record 9
Below is crystalline Pm3Bi2Se at its relaxed geometry, with properties calculated at the GGA-PBE level.

- volume (Å³ per cell) = 753.3
- raw formation energy (eV per atom) = -1.220
- excess energy over the best structure of this formula in the dataset (meV/atom) = 3

abc: 7.7356 13.3818 7.7136
angles: 90.00 109.37 90.00
With the nearest neighbours (Å) after each atom.
Space group C2/c (No. 15)
Unique sites:
Pm 0.2332 0.0790 0.4950  2 Se 3.08, 4 Bi 3.18-3.23
Pm 0.2500 0.2500 0.0000  2 Se 3.12, 4 Bi 3.15-3.17
Bi 0.0000 0.2556 0.2500  6 Pm 3.15-3.21
Bi 0.0000 0.4179 0.7500  6 Pm 3.17-3.23
Se 0.0000 0.0867 0.7500  6 Pm 3.08-3.12



Record 10
Below is crystalline Ac5La2Pr4 at its relaxed geometry, with properties calculated at the GGA-PBE level.

- volume (Å³ per cell) = 451.2
- excess energy over the best structure of this formula in the dataset (meV/atom) = 0

abc: 9.4436 3.7498 12.7480
angles: 90.00 91.95 90.00
With the nearest neighbours (Å) after each atom.
Space group P2/m (No. 10)
Unique sites:
Ac 0.0000 0.0000 0.0000  4 Ac 3.60-3.75, 2 La 3.62, 4 Pr 3.94
Ac 0.1978 0.0000 0.5263  4 Ac 3.71-3.77, 6 Pr 3.86-3.95
Ac 0.2780 0.0000 0.8136  2 La 3.55-3.90, 4 Ac 3.60-3.75, 4 Pr 3.81-3.93
La 0.3546 0.0000 0.1165  3 Ac 3.55-3.90, 4 Pr 3.71-3.82, 2 La 3.75
Pr 0.0744 0.5000 0.2684  3 Pr 3.75-3.82, 2 La 3.82, 8 Ac 3.93-4.17
Pr 0.4646 0.5000 0.3571  4 Pr 3.68-3.82, 2 La 3.71, 6 Ac 3.81-3.95



Record 11
Below is crystalline Ca2CrCu at its relaxed geometry, with properties calculated at the GGA-PBE level.

- volume (Å³ per cell) = 399.0
- excess energy over the best structure of this formula in the dataset (meV/atom) = 102

abc: 7.3621 7.3621 7.3621
angles: 90.00 90.00 90.00
With the nearest neighbours (Å) after each atom.
Space group Fm-3m (No. 225)
Unique sites:
Ca 0.2500 0.2500 0.2500  4 Cr 3.19, 4 Cu 3.19
Cr 0.0000 0.0000 0.0000  8 Ca 3.19
Cu 0.0000 0.0000 0.5000  8 Ca 3.19



Record 12
Below is crystalline Cs2TlAuI at its relaxed geometry, with properties calculated at the GGA-PBE level.

- volume (Å³ per cell) = 261.4
- raw formation energy (eV per atom) = -0.560

abc: 6.9701 6.9701 5.3797
angles: 90.00 90.00 90.00
With the nearest neighbours (Å) after each atom.
Space group P4/mmm (No. 123)
Unique sites:
Cs 0.0000 0.5000 0.0000  2 Au 3.49
Tl 0.0000 0.0000 0.5000  2 Au 2.69
Au 0.0000 0.0000 0.0000  2 Tl 2.69
I 0.5000 0.5000 0.5000  8 Cs 4.40, 4 Tl 4.93



Record 13
Below is crystalline Pm4Pr4Dy3 at its relaxed geometry, with properties calculated at the GGA-PBE level.

- volume (Å³ per cell) = 774.4
- excess energy over the best structure of this formula in the dataset (meV/atom) = 0

abc: 3.6733 9.6091 21.9403
angles: 90.00 90.00 90.00
With the nearest neighbours (Å) after each atom.
Space group Immm (No. 71)
Unique sites:
Pm 0.0000 0.0000 0.2379  2 Dy 3.42, 6 Pr 3.60-3.74, 2 Pm 3.67
Pm 0.0000 0.1849 0.0000  2 Pr 3.43, 6 Dy 3.46-3.54, 3 Pm 3.55-3.67
Pr 0.0000 0.3244 0.1437  3 Pr 3.37-3.67, 4 Pm 3.43-3.74, 2 Dy 3.71
Dy 0.0000 0.0000 0.5000  4 Pm 3.54, 2 Dy 3.67
Dy 0.0000 0.5000 0.3938  6 Pm 3.42-3.46, 2 Dy 3.67, 4 Pr 3.71



Record 14
Below is crystalline Cs2HfSnTe4 at its relaxed geometry, with properties calculated at the GGA-PBE level.

- volume (Å³ per cell) = 3197.8
- raw formation energy (eV per atom) = -0.805

abc: 7.7267 15.4644 26.7624
angles: 90.00 90.00 90.00
With the nearest neighbours (Å) after each atom.
Space group Fddd (No. 70, origin choice 2)
Unique sites:
Cs 0.1250 0.1250 0.3064  6 Te 4.04-4.29
Hf 0.1250 0.1250 0.1250  4 Te 2.73
Sn 0.1250 0.1250 0.6250  4 Te 3.08
Te 0.0908 0.2751 0.4316  1 Hf 2.73



Record 15
Below is crystalline La2Zn4SnGe3 at its relaxed geometry, with properties calculated at the GGA-PBE level.

- volume (Å³ per cell) = 212.3
- electronic total energy (eV/atom) = -3.70

abc: 4.5649 4.5649 10.1894
angles: 90.00 90.00 90.00
With the nearest neighbours (Å) after each atom.
Space group P-4m2 (No. 115)
Unique sites:
La 0.0000 0.5000 0.2448  8 Zn 3.38-3.45, 7 Ge 3.45-3.77, 2 Sn 3.46
Zn 0.0000 0.0000 0.0000  4 Ge 2.62
Zn 0.0000 0.5000 0.6357  3 Ge 2.43-2.67, 2 Sn 2.67
Zn 0.5000 0.5000 0.0000  4 Ge 2.62
Sn 0.0000 0.0000 0.5000  4 Zn 2.67
Ge 0.0000 0.5000 0.8746  5 Zn 2.43-2.62
Ge 0.5000 0.5000 0.5000  4 Zn 2.67



Record 16
Below is crystalline MgSi2Bi at its relaxed geometry, with properties calculated at the GGA-PBE level.

- volume (Å³ per cell) = 483.5
- raw formation energy (eV per atom) = 0.511
- excess energy over the best structure of this formula in the dataset (meV/atom) = 55

abc: 6.3637 6.3637 11.9386
angles: 90.00 90.00 90.00
With the nearest neighbours (Å) after each atom.
Space group I-42d (No. 122)
Unique sites:
Mg 0.0000 0.0000 0.0000  4 Si 2.67
Si 0.2415 0.2500 0.1250  2 Mg 2.67, 2 Bi 2.73
Bi 0.0000 0.0000 0.5000  4 Si 2.73



Record 17
Below is crystalline LuHfTiIr at its relaxed geometry, with properties calculated at the GGA-PBE level.

- volume (Å³ per cell) = 307.4
- electronic total energy (eV/atom) = -8.19

abc: 6.7489 6.7489 6.7489
angles: 90.00 90.00 90.00
With the nearest neighbours (Å) after each atom.
Space group F-43m (No. 216)
Unique sites:
Lu 0.0000 0.0000 0.0000  4 Ir 2.92, 4 Ti 2.92
Hf 0.0000 0.0000 0.5000  4 Ir 2.92, 4 Ti 2.92
Ti 0.2500 0.2500 0.7500  4 Hf 2.92, 4 Lu 2.92
Ir 0.2500 0.2500 0.2500  4 Hf 2.92, 4 Lu 2.92



Record 18
Below is crystalline Tm3ZnHg2 at its relaxed geometry, with properties calculated at the GGA-PBE level.

- volume (Å³ per cell) = 286.6
- excess energy over the best structure of this formula in the dataset (meV/atom) = 9

abc: 5.1203 5.1203 12.6229
angles: 90.00 90.00 120.00
With the nearest neighbours (Å) after each atom.
Space group P-3m1 (No. 164)
Unique sites:
Tm 0.0000 0.0000 0.2451  5 Hg 3.09-3.22, 3 Zn 3.12
Tm 0.3333 0.6667 0.4129  1 Zn 3.11, 7 Hg 3.15-3.28
Tm 0.3333 0.6667 0.9183  4 Hg 3.10-3.13, 4 Zn 3.13-3.14
Zn 0.3333 0.6667 0.1663  8 Tm 3.11-3.14
Hg 0.0000 0.0000 0.0000  8 Tm 3.09-3.13
Hg 0.0000 0.0000 0.5000  8 Tm 3.15-3.22
Hg 0.3333 0.6667 0.6730  8 Tm 3.10-3.28



Record 19
Below is crystalline Cs3Pr2SmO6 at its relaxed geometry, with properties calculated at the GGA-PBE level.

- volume (Å³ per cell) = 497.7
- raw formation energy (eV per atom) = -2.502

abc: 6.4268 11.1315 7.2788
angles: 90.00 107.11 90.00
With the nearest neighbours (Å) after each atom.
Space group C2/m (No. 12)
Unique sites:
Cs 0.0000 0.0000 0.0000  6 O 3.13-3.16
Cs 0.0000 0.3338 0.0000  6 O 3.12-3.17
Pr 0.0000 0.1667 0.5000  6 O 2.46
Sm 0.0000 0.5000 0.5000  6 O 2.41-2.42
O 0.2204 0.3362 0.6698  1 Sm 2.41, 2 Pr 2.46
O 0.2290 0.0000 0.6701  1 Sm 2.42, 2 Pr 2.46



Record 20
Below is crystalline Np4Co3As8 at its relaxed geometry, with properties calculated at the GGA-PBE level.

- volume (Å³ per cell) = 282.4
- electronic total energy (eV/atom) = -7.85

abc: 3.9638 3.9638 17.9734
angles: 90.00 90.00 90.00
With the nearest neighbours (Å) after each atom.
Space group P-4m2 (No. 115)
Unique sites:
Np 0.0000 0.5000 0.1135  2 Co 2.84, 8 As 2.92-3.04
Np 0.0000 0.5000 0.6317  8 As 2.99-3.02, 4 Co 3.09
Co 0.0000 0.0000 0.0000  4 As 2.34
Co 0.0000 0.0000 0.5000  4 As 2.39
Co 0.5000 0.5000 0.5000  4 As 2.39
As 0.0000 0.0000 0.2414  4 As 2.80, 4 Np 3.02-3.04
As 0.0000 0.5000 0.4261  4 Co 2.39
As 0.0000 0.5000 0.9312  2 Co 2.34
As 0.5000 0.5000 0.2416  4 As 2.80, 4 Np 3.02-3.04



Record 21
Below is crystalline LiHf2AlTl at its relaxed geometry, with properties calculated at the GGA-PBE level.

- volume (Å³ per cell) = 116.8
- electronic total energy (eV/atom) = -5.04

abc: 5.0561 5.0561 4.5683
angles: 90.00 90.00 90.00
With the nearest neighbours (Å) after each atom.
Space group P4/mmm (No. 123)
Unique sites:
Li 0.0000 0.0000 0.0000  2 Al 2.28
Hf 0.0000 0.5000 0.5000  2 Al 2.53
Al 0.0000 0.0000 0.5000  2 Li 2.28, 4 Hf 2.53
Tl 0.5000 0.5000 0.0000  8 Hf 3.41, 4 Li 3.58



Record 22
Below is crystalline SrMg2Al6 at its relaxed geometry, with properties calculated at the GGA-PBE level.

- volume (Å³ per cell) = 410.4
- excess energy over the best structure of this formula in the dataset (meV/atom) = 0

abc: 4.3052 7.4927 12.7230
angles: 90.00 90.00 90.00
With the nearest neighbours (Å) after each atom.
Space group Immm (No. 71)
Unique sites:
Sr 0.0000 0.0000 0.0000  12 Al 3.27-3.56
Mg 0.0000 0.5000 0.1189  6 Al 2.81-2.93, 1 Mg 3.03
Al 0.0000 0.1717 0.5000  3 Al 2.57-2.64
Al 0.0000 0.3078 0.3085  4 Al 2.64-2.88, 1 Mg 2.81



Record 23
Below is crystalline CaLa4Sb at its relaxed geometry, with properties calculated at the GGA-PBE level.

- volume (Å³ per cell) = 840.5
- raw formation energy (eV per atom) = 0.043

abc: 9.4372 9.4372 9.4372
angles: 90.00 90.00 90.00
With the nearest neighbours (Å) after each atom.
Space group F-43m (No. 216)
Unique sites:
Ca 0.0000 0.0000 0.0000  12 La 3.91, 4 Sb 4.09
La 0.1248 0.1248 0.6248  6 La 3.33-3.34
Sb 0.2500 0.2500 0.2500  12 La 3.91, 4 Ca 4.09